No. 1
Density functional theory data (GGA-PBE) for an optimized crystal structure of LiV2Pt.

Cell lengths 7.0667, 7.0667, 4.8164 Å; angles 90.00, 90.00, 90.00 degrees
With the nearest neighbours (Å) after each atom.
Element x y z (fractional)
Li 0.0000 0.0000 0.0000  2 Pt 2.41, 4 V 2.67
Li 0.0000 0.5000 0.2500  2 Pt 2.41, 4 V 2.67
Li 0.5000 0.0000 0.7500  2 Pt 2.41, 4 V 2.67
Li 0.5000 0.5000 0.5000  2 Pt 2.41, 4 V 2.67
V 0.2299 0.7500 0.6250  2 V 2.42, 2 Pt 2.47, 2 Li 2.67
V 0.2500 0.2299 0.3750  2 V 2.42, 2 Pt 2.47, 2 Li 2.67
V 0.2500 0.2701 0.8750  2 V 2.42, 2 Pt 2.47, 2 Li 2.67
V 0.2701 0.7500 0.1250  2 V 2.42, 2 Pt 2.47, 2 Li 2.67
V 0.7299 0.2500 0.1250  2 V 2.42, 2 Pt 2.47, 2 Li 2.67
V 0.7500 0.7299 0.8750  2 V 2.42, 2 Pt 2.47, 2 Li 2.67
V 0.7500 0.7701 0.3750  2 V 2.42, 2 Pt 2.47, 2 Li 2.67
V 0.7701 0.2500 0.6250  2 V 2.42, 2 Pt 2.47, 2 Li 2.67
Pt 0.0000 0.0000 0.5000  2 Li 2.41, 4 V 2.47
Pt 0.0000 0.5000 0.7500  2 Li 2.41, 4 V 2.47
Pt 0.5000 0.0000 0.2500  2 Li 2.41, 4 V 2.47
Pt 0.5000 0.5000 0.0000  2 Li 2.41, 4 V 2.47

Results
* crystal system: tetragonal



No. 2
Density functional theory data (GGA-PBE) for an optimized crystal structure of LiV2Pt2.

Cell lengths 7.6026, 7.6026, 2.6897 Å; angles 90.00, 90.00, 90.00 degrees
With the nearest neighbours (Å) after each atom.
Element x y z (fractional)
Li 0.0000 0.0000 0.0000  2 Li 2.69
Li 0.5000 0.5000 0.0000  2 Li 2.69
V 0.1136 0.3864 0.0000  3 V 2.44-2.69, 6 Pt 2.61-2.64
V 0.3864 0.8864 0.0000  3 V 2.44-2.69, 6 Pt 2.61-2.64
V 0.6136 0.1136 0.0000  3 V 2.44-2.69, 6 Pt 2.61-2.64
V 0.8864 0.6136 0.0000  3 V 2.44-2.69, 6 Pt 2.61-2.64
Pt 0.1781 0.6781 0.5000  6 V 2.61-2.64, 2 Pt 2.69
Pt 0.3219 0.1781 0.5000  6 V 2.61-2.64, 2 Pt 2.69
Pt 0.6781 0.8219 0.5000  6 V 2.61-2.64, 2 Pt 2.69
Pt 0.8219 0.3219 0.5000  6 V 2.61-2.64, 2 Pt 2.69

Results
* crystal system: tetragonal
* polymorph energy (0 for the lowest one): 0.000 eV per atom



No. 3
Density functional theory data (GGA-PBE) for an optimized crystal structure of LiV2Pt6.

Cell lengths 7.4000, 7.4000, 2.7677 Å; angles 90.00, 90.00, 120.00 degrees
With the nearest neighbours (Å) after each atom.
Element x y z (fractional)
Li 0.0000 0.0000 0.0000  9 Pt 2.61-2.69, 2 Li 2.77
V 0.3333 0.6667 0.5000  9 Pt 2.60-2.74, 2 V 2.77
V 0.6667 0.3333 0.5000  9 Pt 2.60-2.74, 2 V 2.77
Pt 0.0000 0.2998 0.5000  2 V 2.60, 2 Li 2.61, 8 Pt 2.77-2.85
Pt 0.0000 0.6365 0.0000  1 Li 2.69, 4 V 2.74, 8 Pt 2.77-2.85
Pt 0.2998 0.0000 0.5000  2 V 2.60, 2 Li 2.61, 8 Pt 2.77-2.85
Pt 0.3635 0.3635 0.0000  1 Li 2.69, 4 V 2.74, 8 Pt 2.77-2.85
Pt 0.6365 0.0000 0.0000  1 Li 2.69, 4 V 2.74, 8 Pt 2.77-2.85
Pt 0.7002 0.7002 0.5000  2 V 2.60, 2 Li 2.61, 8 Pt 2.77-2.85

Results
* crystal system: hexagonal



No. 4
Density functional theory data (GGA-PBE) for an optimized crystal structure of Li5VPt6.

Cell lengths 6.6852, 6.6852, 5.8672 Å; angles 90.00, 90.00, 142.85 degrees
With the nearest neighbours (Å) after each atom.
Element x y z (fractional)
Li 0.0000 0.0000 0.0000  8 Pt 2.54-2.59
Li 0.3302 0.6698 0.5000  8 Pt 2.57-2.60
Li 0.3342 0.6658 0.0000  8 Pt 2.56-2.59
Li 0.6658 0.3342 0.0000  8 Pt 2.56-2.59
Li 0.6698 0.3302 0.5000  8 Pt 2.57-2.60
V 0.0000 0.0000 0.5000  8 Pt 2.56-2.58
Pt 0.1647 0.8353 0.2477  7 Li 2.54-2.59, 1 V 2.56
Pt 0.1647 0.8353 0.7523  7 Li 2.54-2.59, 1 V 2.56
Pt 0.5000 0.5000 0.2506  6 Li 2.56-2.60, 2 V 2.58
Pt 0.5000 0.5000 0.7494  6 Li 2.56-2.60, 2 V 2.58
Pt 0.8353 0.1647 0.2477  7 Li 2.54-2.59, 1 V 2.56
Pt 0.8353 0.1647 0.7523  7 Li 2.54-2.59, 1 V 2.56

Results
* crystal system: orthorhombic



no.,Fermi-level density of states (states/eV per cell),energy of formation (meV/atom),size of the total moment (μB/f.u.)
1,16.69,256,0.0
2,8.59,-398,0.0
3,8.33,-443,0.0
4,4.86,-571,0.0